Entry from Alexandria via LeMat-Bulk: CuAg2Sb after structural relaxation (PBE).

Summary:
Distance to the lowest polymorph of the same formula (kJ/mol of formula units): 26.0
Symmetry: Pmmm
Energy relative to the elements, uncorrected (eV/f.u.): 0.7
E (eV per atom): -3.308
Total magnetization (Bohr magnetons per cell): 0.00

Cell lengths 3.2137, 3.9811, 5.8655 Å; angles 90.00, 90.00, 90.00 degrees
Closest atoms and distances in Å follow each position.
Sites, in units of the cell vectors:
Cu 0.0000 0.0000 0.0000  8 Ag 2.90, 2 Sb 2.93, 2 Cu 3.21
Ag 0.5000 0.5000 0.2313  1 Ag 2.71, 4 Cu 2.90, 4 Sb 3.00
Ag 0.5000 0.5000 0.7687  1 Ag 2.71, 4 Cu 2.90, 4 Sb 3.00
Sb 0.0000 0.0000 0.5000  2 Cu 2.93, 8 Ag 3.00, 2 Sb 3.21